(1)
VASP calculation (PBE) on a geometry-optimized Dy3Zr2Zn2 structure.

```
data_Dy3Zr2Zn2
_cell_length_a 11.408
_cell_length_b 11.408
_cell_length_c 3.306
_cell_angle_alpha 90.00
_cell_angle_beta 90.00
_cell_angle_gamma 156.88
_symmetry_space_group_name_H-M 'P 1'
_symmetry_Int_Tables_number 1
_symmetry_space_group_name_Hall 'P 1'
loop_
_atom_site_label
_atom_site_fract_x
_atom_site_fract_y
_atom_site_fract_z
Dy1 0.000 0.000 0.000
Dy2 0.144 0.856 0.000
Dy3 0.856 0.144 0.000
Zr1 0.287 0.713 0.500
Zr2 0.713 0.287 0.500
Zn1 0.427 0.573 0.500
Zn2 0.573 0.427 0.500
```

(2)
VASP calculation (PBE) on a geometry-optimized DyZrZn6 structure.

```
data_DyZrZn6
_cell_length_a 4.415
_cell_length_b 6.052
_cell_length_c 6.052
_cell_angle_alpha 59.90
_cell_angle_beta 90.00
_cell_angle_gamma 90.00
_symmetry_space_group_name_H-M 'P 1'
_symmetry_Int_Tables_number 1
_symmetry_space_group_name_Hall 'P 1'
loop_
_atom_site_label
_atom_site_fract_x
_atom_site_fract_y
_atom_site_fract_z
Dy1 0.000 0.000 0.000
Zr1 0.500 0.335 0.335
Zn1 0.000 0.508 0.984
Zn2 0.000 0.510 0.510
Zn3 0.000 0.984 0.508
Zn4 0.500 0.363 0.821
Zn5 0.500 0.819 0.819
Zn6 0.500 0.821 0.363
```

(3)
VASP calculation (PBE) on a geometry-optimized Dy2ZrZn4 structure.

```
data_Dy2ZrZn4
_cell_length_a 7.079
_cell_length_b 7.079
_cell_length_c 7.079
_cell_angle_alpha 138.47
_cell_angle_beta 138.47
_cell_angle_gamma 60.18
_symmetry_space_group_name_H-M 'P 1'
_symmetry_Int_Tables_number 1
_symmetry_space_group_name_Hall 'P 1'
loop_
_atom_site_label
_atom_site_fract_x
_atom_site_fract_y
_atom_site_fract_z
Dy1 0.226 0.226 0.000
Dy2 0.774 0.774 0.000
Zr1 0.500 0.500 0.000
Zn1 0.105 0.605 0.500
Zn2 0.395 0.895 0.500
Zn3 0.605 0.105 0.500
Zn4 0.895 0.395 0.500
```

(4)
VASP calculation (PBE) on a geometry-optimized DyZrZn2 structure.

```
data_DyZrZn2
_cell_length_a 3.463
_cell_length_b 3.463
_cell_length_c 6.840
_cell_angle_alpha 90.00
_cell_angle_beta 90.00
_cell_angle_gamma 90.00
_symmetry_space_group_name_H-M 'P 1'
_symmetry_Int_Tables_number 1
_symmetry_space_group_name_Hall 'P 1'
loop_
_atom_site_label
_atom_site_fract_x
_atom_site_fract_y
_atom_site_fract_z
Dy1 0.000 0.000 0.000
Zr1 0.000 0.000 0.500
Zn1 0.500 0.500 0.273
Zn2 0.500 0.500 0.727
```

Number 1: DFT formation energy 0.0186 eV/atom. Number 2: DFT formation energy -0.2828 eV/atom. Number 3: DFT formation energy -0.1371 eV/atom. Number 4: DFT formation energy -0.2824 eV/atom.